A geometry-optimized CuSiPt structure. Source: the Alexandria database, functional PBEsol. Values from VASP.

Geometry as Quantum ESPRESSO input:
```
&SYSTEM
  ibrav = 0, nat = 3, ntyp = 3
/
ATOMIC_SPECIES
Cu 63.55 Cu.upf
Si 28.09 Si.upf
Pt 195.08 Pt.upf
CELL_PARAMETERS angstrom
-1.581 1.581 3.913
1.581 -1.581 3.913
1.581 1.581 -3.913
ATOMIC_POSITIONS angstrom
Cu 0.000 0.000 0.000
Si 0.000 0.000 5.181
Pt 0.000 0.000 2.537
```

Output
E, eV per atom: -6.0431
Size of the total moment, μB/cell: 0.0
Crystal system: tetragonal
Space group: I4mm (107)
E_form (uncorrected), eV per formula unit: -1.09

***

A geometry-optimized KCoPt structure. Source: the Alexandria database, functional PBEsol. Values from VASP.

Geometry as Quantum ESPRESSO input:
```
&SYSTEM
  ibrav = 0, nat = 3, ntyp = 3
/
ATOMIC_SPECIES
K 39.10 K.upf
Co 58.93 Co.upf
Pt 195.08 Pt.upf
CELL_PARAMETERS angstrom
-1.347 2.003 5.661
1.347 -2.003 5.661
1.347 2.003 -5.661
ATOMIC_POSITIONS angstrom
K 0.000 0.000 0.000
Co 0.000 0.000 8.287
Pt 0.000 0.000 3.139
```

Output
E, eV per atom: -4.9760
Size of the total moment, μB/cell: 1.7
Crystal system: orthorhombic
Energy relative to the elements, kJ/mol of formula units: 87
Space group: Imm2 (44)

***

A geometry-optimized LiZn2Cd structure. Source: the Alexandria database, functional PBEsol. Values from VASP.

Geometry as Quantum ESPRESSO input:
```
&SYSTEM
  ibrav = 0, nat = 4, ntyp = 3
/
ATOMIC_SPECIES
Li 6.94 Li.upf
Zn 65.41 Zn.upf
Cd 112.41 Cd.upf
CELL_PARAMETERS angstrom
-1.987 1.987 3.972
1.987 -1.987 3.972
1.987 1.987 -3.972
ATOMIC_POSITIONS angstrom
Li 0.000 0.000 0.000
Zn 1.987 0.000 1.986
Zn 0.000 1.987 1.986
Cd 0.000 0.000 3.972
```

Output
E, eV per atom: -1.6923
Size of the total moment, μB/cell: 0.0
Crystal system: tetragonal
Energy relative to the elements, kJ/mol of formula units: -43
Space group: I4/mmm (139)